Entry one
The following is a DFT calculation (PBE) of crystalline Y2Ga2O at its relaxed geometry.

Calculated values
DOS(E_F): 8.8 states/eV per cell

Lattice parameters (Å, degrees): 5.879 5.879 6.613 90.00 90.00 90.00
Space group I4/mmm (No. 139)
One atom of each set of equivalent atoms:
Y 0.000 0.500 0.250 (multiplicity 4)
Ga 0.000 0.000 0.191 (multiplicity 4)
O 0.000 0.000 0.500 (multiplicity 2)

=====

Entry two
The following is a DFT calculation (PBE) of crystalline Y2Ga2O at its relaxed geometry.

Calculated values
DOS(E_F): 3.9 states/eV per cell

Lattice parameters (Å, degrees): 6.925 6.925 4.360 90.00 90.00 90.00
Space group P4/mbm (No. 127)
One atom of each set of equivalent atoms:
Y 0.163 0.337 0.000 (multiplicity 4)
Ga 0.143 0.643 0.500 (multiplicity 4)
O 0.000 0.000 0.500 (multiplicity 2)

=====

Quick one: least stable of them? entry one

=====

Entry one
The following is a DFT calculation (PBE) of crystalline Y2GaO at its relaxed geometry.

Calculated values
DOS(E_F): 7.6 states/eV per cell

Lattice parameters (Å, degrees): 3.394 3.293 14.621 90.00 90.00 90.00
Space group Amm2 (No. 38)
One atom of each set of equivalent atoms:
Y 0.000 0.000 0.000 (multiplicity 2)
Y 0.500 0.000 0.306 (multiplicity 2)
Ga 0.500 0.000 0.629 (multiplicity 2)
O 0.000 0.000 0.842 (multiplicity 2)

=====

Entry two
The following is a DFT calculation (PBE) of crystalline Y2GaO at its relaxed geometry.

Calculated values
DOS(E_F): 6.6 states/eV per cell

Lattice parameters (Å, degrees): 3.9505 3.9505 24.0342 90.00 90.00 120.00
Space group R-3m (No. 166, hexagonal axes)
One atom of each set of equivalent atoms:
Y 0.0000 0.0000 0.0845 (multiplicity 6)
Ga 0.0000 0.0000 0.5000 (multiplicity 3)
O 0.0000 0.0000 0.0000 (multiplicity 3)

=====

Entry three
The following is a DFT calculation (PBE) of crystalline Y2GaO at its relaxed geometry.

Calculated values
DOS(E_F): 32.7 states/eV per cell

Lattice parameters (Å, degrees): 6.850 6.850 6.850 90.00 90.00 90.00
Space group Fm-3m (No. 225)
One atom of each set of equivalent atoms:
Y 0.250 0.250 0.250 (multiplicity 8)
Ga 0.000 0.000 0.000 (multiplicity 4)
O 0.000 0.000 0.500 (multiplicity 4)

=====

Quick one: least stable of them? entry three

=====

Entry one
The following is a DFT calculation (PBE) of crystalline Zn2GaO at its relaxed geometry.

Calculated values
DOS(E_F): 3.6 states/eV per cell

Lattice parameters (Å, degrees): 5.711 5.711 8.290 90.00 90.00 90.00
Space group I-42d (No. 122)
One atom of each set of equivalent atoms:
Zn 0.170 0.250 0.125 (multiplicity 8)
Ga 0.000 0.000 0.500 (multiplicity 4)
O 0.000 0.000 0.000 (multiplicity 4)

=====

Entry two
The following is a DFT calculation (PBE) of crystalline Zn2GaO at its relaxed geometry.

Calculated values
DOS(E_F): 20.1 states/eV per cell

Lattice parameters (Å, degrees): 6.182 6.182 6.182 90.00 90.00 90.00
Space group Fm-3m (No. 225)
One atom of each set of equivalent atoms:
Zn 0.250 0.250 0.250 (multiplicity 8)
Ga 0.000 0.000 0.000 (multiplicity 4)
O 0.000 0.000 0.500 (multiplicity 4)

=====

Quick one: least stable of them? entry two

=====

Entry one
The following is a DFT calculation (PBE) of crystalline GaTePOs2 at its relaxed geometry.

Calculated values
DOS(E_F): 5.5 states/eV per cell

Lattice parameters (Å, degrees): 4.862 4.862 5.118 90.00 90.00 90.00
Space group P4/mmm (No. 123)
One atom of each set of equivalent atoms:
Ga 0.000 0.000 0.000 (multiplicity 1)
Te 0.000 0.000 0.500 (multiplicity 1)
P 0.500 0.500 0.000 (multiplicity 1)
Os 0.000 0.500 0.500 (multiplicity 2)

=====

Entry two
The following is a DFT calculation (PBE) of crystalline GaTePOs2 at its relaxed geometry.

Calculated values
DOS(E_F): 3.5 states/eV per cell

Lattice parameters (Å, degrees): 4.485 4.485 4.712 90.00 90.00 90.00
Space group P4/mmm (No. 123)
One atom of each set of equivalent atoms:
Ga 0.000 0.000 0.000 (multiplicity 1)
Te 0.500 0.500 0.000 (multiplicity 1)
P 0.000 0.000 0.500 (multiplicity 1)
Os 0.000 0.500 0.500 (multiplicity 2)

=====

Quick one: least stable of them? entry one

=====

Entry one
The following is a DFT calculation (PBE) of crystalline GaOs2Pb at its relaxed geometry.

Calculated values
DOS(E_F): 13.0 states/eV per cell

Lattice parameters (Å, degrees): 4.306 4.306 17.999 90.00 90.00 90.00
Space group I-42d (No. 122)
One atom of each set of equivalent atoms:
Ga 0.000 0.000 0.000 (multiplicity 4)
Os 0.134 0.250 0.125 (multiplicity 8)
Pb 0.000 0.000 0.500 (multiplicity 4)

=====

Entry two
The following is a DFT calculation (PBE) of crystalline GaOs2Pb at its relaxed geometry.

Calculated values
DOS(E_F): 15.2 states/eV per cell

Lattice parameters (Å, degrees): 6.422 6.422 6.422 90.00 90.00 90.00
Space group Fm-3m (No. 225)
One atom of each set of equivalent atoms:
Ga 0.000 0.000 0.000 (multiplicity 4)
Os 0.250 0.250 0.250 (multiplicity 8)
Pb 0.000 0.000 0.500 (multiplicity 4)

=====

Quick one: least stable of them? entry one

=====

Entry one
The following is a DFT calculation (PBE) of crystalline GaOs3Pb at its relaxed geometry.

Calculated values
DOS(E_F): 5.9 states/eV per cell

Lattice parameters (Å, degrees): 5.035 5.035 5.035 90.00 90.00 90.00
Space group Pm-3m (No. 221)
One atom of each set of equivalent atoms:
Ga 0.000 0.000 0.000 (multiplicity 1)
Os 0.000 0.500 0.500 (multiplicity 3)
Pb 0.500 0.500 0.500 (multiplicity 1)

=====

Entry two
The following is a DFT calculation (PBE) of crystalline GaOs3Pb at its relaxed geometry.

Calculated values
DOS(E_F): 5.1 states/eV per cell

Lattice parameters (Å, degrees): 4.588 4.588 4.588 90.00 90.00 90.00
Space group Pm-3m (No. 221)
One atom of each set of equivalent atoms:
Ga 0.000 0.000 0.000 (multiplicity 1)
Os 0.000 0.000 0.500 (multiplicity 3)
Pb 0.500 0.500 0.500 (multiplicity 1)

=====

Quick one: least stable of them? entry one

=====

Entry one
The following is a DFT calculation (PBE) of crystalline Pm8Ga2Os at its relaxed geometry.

Calculated values
DOS(E_F): 18.4 states/eV per cell

Lattice parameters (Å, degrees): 18.223 5.140 6.881 90.00 103.35 90.00
Space group C2/m (No. 12)
One atom of each set of equivalent atoms:
Pm 0.023 0.000 0.284 (multiplicity 4)
Pm 0.090 0.500 0.937 (multiplicity 4)
Pm 0.155 0.500 0.459 (multiplicity 4)
Pm 0.205 0.000 0.804 (multiplicity 4)
Ga 0.190 0.000 0.233 (multiplicity 4)
Os 0.000 0.500 0.500 (multiplicity 2)

=====

Entry two
The following is a DFT calculation (PBE) of crystalline Pm8Ga2Os at its relaxed geometry.

Calculated values
DOS(E_F): 22.1 states/eV per cell

Lattice parameters (Å, degrees): 5.382 6.997 16.393 90.00 90.00 90.00
Space group Immm (No. 71)
One atom of each set of equivalent atoms:
Pm 0.000 0.000 0.198 (multiplicity 4)
Pm 0.000 0.235 0.371 (multiplicity 8)
Pm 0.000 0.247 0.000 (multiplicity 4)
Ga 0.000 0.500 0.186 (multiplicity 4)
Os 0.000 0.500 0.500 (multiplicity 2)

=====

Quick one: least stable of them? entry two

=====

Entry one
The following is a DFT calculation (PBE) of crystalline Pr3GaOs at its relaxed geometry.

Calculated values
DOS(E_F): 12.4 states/eV per cell

Lattice parameters (Å, degrees): 4.087 9.784 7.034 90.00 90.00 90.00
Space group Pmmn (No. 59, origin choice 2)
One atom of each set of equivalent atoms:
Pr 0.250 0.056 0.235 (multiplicity 4)
Pr 0.250 0.250 0.789 (multiplicity 2)
Ga 0.250 0.750 0.540 (multiplicity 2)
Os 0.250 0.750 0.909 (multiplicity 2)

=====

Entry two
The following is a DFT calculation (PBE) of crystalline Pr3GaOs at its relaxed geometry.

Calculated values
DOS(E_F): 11.6 states/eV per cell

Lattice parameters (Å, degrees): 4.058 8.458 8.540 92.38 90.00 103.86
Space group P-1 (No. 2)
One atom of each set of equivalent atoms:
Pr 0.056 0.111 0.187 (multiplicity 2)
Pr 0.245 0.488 0.806 (multiplicity 2)
Pr 0.401 0.802 0.458 (multiplicity 2)
Ga 0.399 0.799 0.085 (multiplicity 2)
Os 0.213 0.424 0.434 (multiplicity 2)

=====

Quick one: least stable of them? entry two